The following is a DFT calculation (PBE+U) of crystalline CoCuF2 at its relaxed geometry.

```
CoCuF2
1.0
-1.695 -3.472 1.049
3.592 -1.447 1.017
0.143 -0.265 6.997
Co F Cu
2 4 2
direct
0.250 0.750 0.500
0.500 0.500 0.000
0.875 0.862 0.750
0.138 0.625 0.250
0.612 0.125 0.250
0.375 0.388 0.750
0.000 0.000 0.000
0.750 0.250 0.500
```

Output
VASP energy: -4.0713 eV per atom
magnetic moment: 2.34 μB/f.u.
crystal system: tetragonal
relative energy among the computed polymorphs: 301 meV per atom